# 1
SbTeIr after structural relaxation. Source: the Alexandria database, functional PBE.

## Properties
- Space-group type: I4mm, No. 107
- Formation energy (no corrections): 3.3 kcal/mol of atoms

The structure in POSCAR format:
```
SbTeIr
1.0
-1.6439 1.6439 6.4985
1.6439 -1.6439 6.4985
1.6439 1.6439 -6.4985
Sb Te Ir
1 1 1
Direct
0.0000 0.0000 0.0000
0.2549 0.2549 0.0000
0.6266 0.6266 0.0000
```

***

# 2
Pd3PbAu3 after structural relaxation. Source: the Alexandria database, functional PBE.

## Properties
- VASP energy: -4.256 eV/atom
- Space-group type: C2/m, No. 12

The structure in POSCAR format:
```
Pd3PbAu3
1.0
4.6555 -4.6747 0.0000
4.6555 4.6747 0.0000
-0.0005 0.0000 6.0628
Pd Pb Au
6 2 6
Direct
0.0005 0.0005 0.2440
0.9995 0.9995 0.7560
0.0004 0.4995 0.2476
0.9996 0.5005 0.7524
0.4995 0.0004 0.2476
0.5005 0.9996 0.7524
0.2706 0.2706 0.5007
0.7294 0.7294 0.4993
0.2589 0.7411 0.5000
0.2697 0.7303 0.0000
0.2744 0.2744 0.9993
0.7256 0.7256 0.0007
0.7303 0.2697 0.0000
0.7411 0.2589 0.5000
```

***

# 3
Cs2HgBr2F2 after structural relaxation. Source: the Alexandria database, functional PBE.

## Properties
- Space-group type: I4/mmm, No. 139
- Formation energy (no corrections): -40.1 kcal/mol of atoms

The structure in POSCAR format:
```
Cs2HgBr2F2
1.0
-2.5515 2.5515 8.4515
2.5515 -2.5515 8.4515
2.5515 2.5515 -8.4515
Cs Hg Br F
2 1 2 2
Direct
0.1144 0.1144 0.0000
0.8856 0.8856 0.0000
0.5000 0.5000 0.0000
0.3442 0.3442 0.0000
0.6558 0.6558 0.0000
0.0000 0.5000 0.5000
0.5000 0.0000 0.5000
```

***

# 4
Ti4VTc after structural relaxation. Source: the Alexandria database, functional PBE.

## Properties
- Offset from the most stable computed form: 0.000 eV per atom
- Space-group type: C2/m, No. 12

The structure in POSCAR format:
```
Ti4VTc
1.0
4.7155 -2.2079 0.0000
4.7155 2.2079 0.0000
-3.3052 0.0000 4.5321
Ti V Tc
4 1 1
Direct
0.1587 0.1587 0.3100
0.1792 0.1792 0.8193
0.8208 0.8208 0.1807
0.8413 0.8413 0.6900
0.5000 0.5000 0.5000
0.5000 0.5000 0.0000
```

***

# 5
SmAgAu after structural relaxation. Source: the Alexandria database, functional PBE.

## Properties
- Offset from the most stable computed form: 0.780 eV per atom
- Space-group type: R3m, No. 160

The structure in POSCAR format:
```
SmAgAu
1.0
1.5525 0.8964 8.2120
-1.5525 0.8964 8.2120
0.0000 -1.7927 8.2120
Sm Ag Au
1 1 1
Direct
0.0000 0.0000 0.0000
0.1196 0.1196 0.1196
0.8822 0.8822 0.8822
```

***

# 6
MnSn5Se6 after structural relaxation. Source: the Alexandria database, functional PBE.

## Properties
- Space-group type: C2/m, No. 12
- Formation energy (no corrections): -9.4 kcal/mol of atoms

The structure in POSCAR format:
```
MnSn5Se6
1.0
3.6612 -6.2954 0.0000
3.6612 6.2954 0.0000
-2.4331 0.0000 6.9064
Mn Sn Se
1 5 6
Direct
0.0000 0.0000 0.0000
0.1639 0.8361 0.5000
0.3300 0.6700 0.0000
0.5000 0.5000 0.5000
0.6700 0.3300 0.0000
0.8361 0.1639 0.5000
0.0766 0.3842 0.2305
0.2325 0.2325 0.7548
0.3842 0.0766 0.2305
0.6158 0.9234 0.7695
0.7675 0.7675 0.2452
0.9234 0.6158 0.7695
```